(1)
PBE Pr6Y4Sc, optimized geometry; calculated volume = 746.1 Å³ per cell; magnetic moment = 0.0 μB per cell; ΔE_f = 0.1241 eV/atom
1.0
2.9286 -4.8788 0.0000
2.9286 4.8788 0.0000
0.0000 0.0000 26.1081
Pr Y Sc
12 8 2
direct
0.0000 0.0000 0.0000
0.0000 0.0000 0.5000
0.0396 0.9604 0.7500
0.3056 0.6944 0.1037
0.3056 0.6944 0.3963
0.3689 0.6311 0.6838
0.3689 0.6311 0.8162
0.6311 0.3689 0.1838
0.6311 0.3689 0.3162
0.6944 0.3056 0.6037
0.6944 0.3056 0.8963
0.9604 0.0396 0.2500
0.0354 0.9646 0.6242
0.0354 0.9646 0.8758
0.3468 0.6532 0.5449
0.3468 0.6532 0.9551
0.6532 0.3468 0.0449
0.6532 0.3468 0.4551
0.9646 0.0354 0.1242
0.9646 0.0354 0.3758
0.2975 0.7025 0.2500
0.7025 0.2975 0.7500

(2)
PBE CdIr2Os, optimized geometry; calculated volume = 62.2 Å³ per cell; magnetic moment = 0.0 μB per cell; ΔE_f = 0.4270 eV/atom
1.0
-1.9707 1.9707 4.0021
1.9707 -1.9707 4.0021
1.9707 1.9707 -4.0021
Cd Ir Os
1 2 1
direct
0.0000 0.0000 0.0000
0.2500 0.7500 0.5000
0.5000 0.5000 0.0000
0.7500 0.2500 0.5000

(3)
PBE Hf2FeRhN, optimized geometry; energy relative to the elements, uncorrected = -0.899 eV per atom; calculated volume = 72.6 Å³ per cell; magnetic moment = 1.5 μB per cell
1.0
4.4473 0.0000 0.0000
0.0000 4.4473 0.0000
0.0000 0.0000 3.6717
Hf Fe Rh N
2 1 1 1
direct
0.0000 0.5000 0.0000
0.5000 0.0000 0.0000
0.0000 0.0000 0.5000
0.5000 0.5000 0.5000
0.0000 0.0000 0.0000

(4)
PBE TaMn2Os, optimized geometry; calculated volume = 56.0 Å³ per cell; magnetic moment = 3.1 μB per cell; ΔE_f = 0.0507 eV/atom
1.0
-1.8743 1.8743 3.9853
1.8743 -1.8743 3.9853
1.8743 1.8743 -3.9853
Ta Mn Os
1 2 1
direct
0.0000 0.0000 0.0000
0.2500 0.7500 0.5000
0.5000 0.5000 0.0000
0.7500 0.2500 0.5000

(5)
PBE FeCo2Mo, optimized geometry; calculated volume = 48.1 Å³ per cell; magnetic moment = 3.1 μB per cell; ΔE_f = 0.1068 eV/atom
1.0
2.6157 0.0000 0.0000
0.0000 3.5323 0.0000
0.0000 0.0000 5.2016
Fe Co Mo
1 2 1
direct
0.0000 0.0000 0.0000
0.0000 0.0000 0.5367
0.5000 0.5000 0.7748
0.5000 0.5000 0.2767

(6)
PBE TbSnBr2, optimized geometry; energy relative to the elements, uncorrected = -0.569 eV per atom; calculated volume = 128.2 Å³ per cell; magnetic moment = 0.0 μB per cell
1.0
1.8624 1.0753 10.6681
-1.8624 1.0753 10.6681
0.0000 -2.1506 10.6681
Tb Sn Br
1 1 2
direct
0.0000 0.0000 0.0000
0.5000 0.5000 0.5000
0.0850 0.0850 0.0850
0.9150 0.9150 0.9150

(7)
PBE AlFe2Co, optimized geometry; calculated volume = 47.4 Å³ per cell; magnetic moment = 5.8 μB per cell; ΔE_f = -0.1319 eV/atom
1.0
2.9529 0.0000 0.0000
0.0000 2.9529 0.0000
0.0000 0.0000 5.4330
Al Fe Co
1 2 1
direct
0.0000 0.0000 0.0000
0.5000 0.5000 0.2607
0.5000 0.5000 0.7393
0.0000 0.0000 0.5000

(8)
PBE BaPm2PdSe4, optimized geometry; energy relative to the elements, uncorrected = -1.723 eV per atom; calculated volume = 442.8 Å³ per cell; magnetic moment = 0.0 μB per cell
1.0
2.1265 -7.1183 0.0000
2.1265 7.1183 0.0000
0.0000 0.0000 14.6251
Ba Pm Pd Se
2 4 2 8
direct
0.1174 0.8826 0.7500
0.8826 0.1174 0.2500
0.3668 0.6332 0.5720
0.3668 0.6332 0.9280
0.6332 0.3668 0.0720
0.6332 0.3668 0.4280
0.1544 0.8456 0.2500
0.8456 0.1544 0.7500
0.0000 0.0000 0.0000
0.0000 0.0000 0.5000
0.2707 0.7293 0.1116
0.2707 0.7293 0.3884
0.4514 0.5486 0.7500
0.5486 0.4514 0.2500
0.7293 0.2707 0.6116
0.7293 0.2707 0.8884

(9)
PBE Sr2NbSnO6, optimized geometry; energy relative to the elements, uncorrected = -2.396 eV per atom; calculated volume = 139.3 Å³ per cell; magnetic moment = 1.0 μB per cell
1.0
0.0000 4.1139 4.1139
4.1139 0.0000 4.1139
4.1139 4.1139 0.0000
Sr Nb Sn O
2 1 1 6
direct
0.2500 0.2500 0.2500
0.7500 0.7500 0.7500
0.0000 0.0000 0.0000
0.5000 0.5000 0.5000
0.2501 0.2501 0.7499
0.2501 0.7499 0.2501
0.2501 0.7499 0.7499
0.7499 0.2501 0.2501
0.7499 0.2501 0.7499
0.7499 0.7499 0.2501

(10)
PBE Y2Ni12P3Rh, optimized geometry; calculated volume = 243.8 Å³ per cell; magnetic moment = 0.4 μB per cell; ΔE_f = -0.0552 eV/atom
1.0
4.2701 2.4654 3.8594
-4.2701 2.4654 3.8594
0.0000 -4.9307 3.8594
Y Ni P Rh
2 12 3 1
direct
0.2096 0.2096 0.2096
0.7904 0.7904 0.7904
0.1003 0.1003 0.6309
0.1003 0.6309 0.1003
0.1896 0.6873 0.6873
0.3127 0.3127 0.8104
0.3127 0.8104 0.3127
0.3691 0.8997 0.8997
0.6309 0.1003 0.1003
0.6873 0.1896 0.6873
0.6873 0.6873 0.1896
0.8104 0.3127 0.3127
0.8997 0.3691 0.8997
0.8997 0.8997 0.3691
0.0000 0.5000 0.5000
0.5000 0.0000 0.5000
0.5000 0.5000 0.0000
0.5000 0.5000 0.5000

(11)
PBE HgIr2Os, optimized geometry; calculated volume = 65.2 Å³ per cell; magnetic moment = 0.0 μB per cell; ΔE_f = 0.4965 eV/atom
1.0
2.7668 0.0000 0.0000
0.0000 3.7974 0.0000
0.0000 0.0000 6.2048
Hg Ir Os
1 2 1
direct
0.0000 0.0000 0.0000
0.0000 0.0000 0.5082
0.5000 0.5000 0.2791
0.5000 0.5000 0.7053

(12)
PBE KAg2SeCl8, optimized geometry; energy relative to the elements, uncorrected = -0.590 eV per atom; calculated volume = 351.1 Å³ per cell; magnetic moment = 0.0 μB per cell
1.0
6.4741 0.0000 0.0000
-0.0779 6.4856 0.0000
-1.5864 -2.2606 8.3610
K Ag Se Cl
1 2 1 8
direct
0.0000 0.0000 0.0000
0.3637 0.4809 0.7887
0.6363 0.5191 0.2113
0.0000 0.0000 0.5000
0.0792 0.7459 0.2670
0.1862 0.7820 0.6716
0.3230 0.2134 0.5213
0.4962 0.2323 0.9708
0.5038 0.7677 0.0292
0.6770 0.7866 0.4787
0.8138 0.2180 0.3284
0.9208 0.2541 0.7330

(13)
PBE LiFe2Ru, optimized geometry; calculated volume = 49.1 Å³ per cell; magnetic moment = 4.2 μB per cell; ΔE_f = 0.2351 eV/atom
1.0
2.5576 0.0000 0.0000
0.0000 3.8579 0.0000
0.0000 0.0000 4.9811
Li Fe Ru
1 2 1
direct
0.0000 0.0000 0.0000
0.5000 0.5000 0.2532
0.5000 0.5000 0.7468
0.0000 0.0000 0.5000

(14)
PBE Te8Pd3Rh, optimized geometry; energy relative to the elements, uncorrected = -0.355 eV per atom; calculated volume = 301.4 Å³ per cell; magnetic moment = 0.0 μB per cell
1.0
5.2328 -4.0755 0.0000
5.2328 4.0755 0.0000
-5.2246 0.0000 7.0657
Te Pd Rh
8 3 1
direct
0.1942 0.7053 0.6615
0.2043 0.2043 0.1679
0.2902 0.2902 0.8268
0.2947 0.8058 0.3385
0.7053 0.1942 0.6615
0.7098 0.7098 0.1732
0.7957 0.7957 0.8321
0.8058 0.2947 0.3385
0.0000 0.5000 0.0000
0.5000 0.0000 0.0000
0.5000 0.5000 0.5000
0.0000 0.0000 0.5000

(15)
PBE TmReBi2O8, optimized geometry; energy relative to the elements, uncorrected = -1.808 eV per atom; calculated volume = 181.2 Å³ per cell; magnetic moment = 0.0 μB per cell
1.0
5.2136 0.0000 0.0000
0.0000 6.6621 0.0000
-0.0334 0.0000 5.2171
Tm Re Bi O
1 1 2 8
direct
0.0000 0.0000 0.0000
0.0000 0.5000 0.0000
0.5000 0.2509 0.5000
0.5000 0.7491 0.5000
0.1779 0.2829 0.1747
0.1779 0.7171 0.1747
0.2483 0.5000 0.7472
0.3008 0.0000 0.6968
0.6992 0.0000 0.3032
0.7517 0.5000 0.2528
0.8221 0.2829 0.8253
0.8221 0.7171 0.8253

(16)
PBE SrLiEu2, optimized geometry; calculated volume = 165.3 Å³ per cell; magnetic moment = 15.2 μB per cell; ΔE_f = 0.0991 eV/atom
1.0
5.2431 0.0000 0.0000
0.0000 5.2431 0.0000
0.0000 0.0000 6.0126
Sr Li Eu
1 1 2
direct
0.0000 0.0000 0.0000
0.5000 0.5000 0.0000
0.0000 0.5000 0.5000
0.5000 0.0000 0.5000

(17)
PBE Te3HAu, optimized geometry; calculated volume = 107.4 Å³ per cell; final energy = -2.5269 eV per atom; magnetic moment = 0.0 μB per cell
1.0
4.7530 0.0000 0.0000
0.0000 4.7530 0.0000
0.0000 0.0000 4.7530
Te H Au
3 1 1
direct
0.0000 0.0000 0.5000
0.0000 0.5000 0.0000
0.5000 0.0000 0.0000
0.0000 0.0000 0.0000
0.5000 0.5000 0.5000

(18)
PBE LaHg2Os, optimized geometry; calculated volume = 88.8 Å³ per cell; magnetic moment = 0.0 μB per cell; ΔE_f = 0.1565 eV/atom
1.0
-2.1751 2.1751 4.6945
2.1751 -2.1751 4.6945
2.1751 2.1751 -4.6945
La Hg Os
1 2 1
direct
0.0000 0.0000 0.0000
0.2500 0.7500 0.5000
0.7500 0.2500 0.5000
0.5000 0.5000 0.0000

(19)
PBE Ba2Mg12TlHg3, optimized geometry; calculated volume = 596.3 Å³ per cell; magnetic moment = 0.0 μB per cell; ΔE_f = 0.1639 eV/atom
1.0
4.9631 2.8654 6.9878
-4.9631 2.8654 6.9878
0.0000 -5.7309 6.9878
Ba Mg Tl Hg
2 12 1 3
direct
0.1039 0.1039 0.1039
0.8961 0.8961 0.8961
0.1348 0.6275 0.6275
0.1616 0.1616 0.5886
0.1616 0.5886 0.1616
0.3725 0.3725 0.8652
0.3725 0.8652 0.3725
0.4114 0.8384 0.8384
0.5886 0.1616 0.1616
0.6275 0.1348 0.6275
0.6275 0.6275 0.1348
0.8384 0.4114 0.8384
0.8384 0.8384 0.4114
0.8652 0.3725 0.3725
0.5000 0.5000 0.5000
0.0000 0.5000 0.5000
0.5000 0.0000 0.5000
0.5000 0.5000 0.0000

(20)
PBE Y2TlPb, optimized geometry; calculated volume = 134.2 Å³ per cell; magnetic moment = 0.0 μB per cell; ΔE_f = 0.1564 eV/atom
1.0
-1.7583 3.0179 6.3214
1.7583 -3.0179 6.3214
1.7583 3.0179 -6.3214
Y Tl Pb
2 1 1
direct
0.2502 0.2502 0.0000
0.7498 0.7498 0.0000
0.0000 0.0000 0.0000
0.5000 0.5000 0.0000